Record 1
Here is a geometry-optimized Na2AgF structure from Alexandria. Energies are from PBE.

Properties
Raw formation energy: -1.238 eV/atom
Crystal system: tetragonal
Energy above the lowest structure with this stoichiometry: 49.2 meV per atom

Cell: 2.944 2.944 7.722 Å, 90.00 90.00 90.00°
Space group P4/mmm (No. 123)
Symmetry-distinct sites (fractional):
Na 0.000 0.000 0.182 [2 per cell]
Ag 0.500 0.500 0.500 [1 per cell]
F 0.500 0.500 0.000 [1 per cell]


Record 2
Here is a geometry-optimized Na3Ag5F12 structure from Alexandria. Energies are from PBE.

Properties
Raw formation energy: -1.539 eV/atom
Crystal system: cubic

Cell: 14.202 14.202 14.202 Å, 90.00 90.00 90.00°
Space group Ia-3d (No. 230)
Symmetry-distinct sites (fractional):
Na 0.000 0.250 0.125 [24 per cell]
Ag 0.000 0.000 0.000 [16 per cell]
Ag 0.000 0.250 0.375 [24 per cell]
F 0.002 0.010 0.652 [96 per cell]


Record 3
Here is a geometry-optimized NaAg5F6 structure from Alexandria. Energies are from PBE.

Properties
Raw formation energy: -1.255 eV/atom
Crystal system: monoclinic

Cell: 6.168 10.565 6.052 Å, 90.00 111.01 90.00°
Space group C2/m (No. 12)
Symmetry-distinct sites (fractional):
Na 0.000 0.000 0.000 [2 per cell]
Ag 0.000 0.172 0.500 [4 per cell]
Ag 0.000 0.333 0.000 [4 per cell]
Ag 0.000 0.500 0.500 [2 per cell]
F 0.235 0.000 0.767 [4 per cell]
F 0.235 0.156 0.242 [8 per cell]


- Which of these has the lowest raw formation energy?
  Na3Ag5F12